[1]
Nd6HgRu2 | GGA-PBE | optimized geometry

Unit cell a=8.7283 b=8.7283 c=8.7283 alpha=104.66 beta=110.98 gamma=112.88
Fractional positions:
Nd (0.6873, 0.3596, 0.6723)
Nd (0.6873, 0.0151, 0.3277)
Nd (0.5334, 0.7156, 0.8178)
Nd (0.3127, 0.6404, 0.3277)
Nd (0.3127, 0.9849, 0.6723)
Nd (0.2012, 0.2370, 0.4381)
Nd (0.4666, 0.2844, 0.1822)
Nd (0.2012, 0.7630, 0.9642)
Nd (0.7988, 0.7630, 0.5619)
Nd (0.8978, 0.7156, 0.1822)
Nd (0.1022, 0.2844, 0.8178)
Nd (0.7988, 0.2370, 0.0358)
Hg (0.0000, 0.0000, 0.0000)
Hg (0.0000, 0.5000, 0.5000)
Ru (0.6721, 0.0000, 0.6721)
Ru (0.5000, 0.3758, 0.8758)
Ru (0.3279, 0.0000, 0.3279)
Ru (0.5000, 0.6242, 0.1242)

The value obtained for the energy is -5.533 eV per atom. The formation energy comes out at -260 meV per atom.


[2]
Nd12HgRu6 | GGA-PBE | optimized geometry

Unit cell a=8.8005 b=8.8005 c=8.8005 alpha=109.47 beta=109.47 gamma=109.47
Fractional positions:
Nd (0.8032, 0.2988, 0.1020)
Nd (0.8032, 0.7012, 0.5045)
Nd (0.5045, 0.8032, 0.7012)
Nd (0.1968, 0.2988, 0.4955)
Nd (0.4955, 0.1968, 0.2988)
Nd (0.2988, 0.4955, 0.1968)
Nd (0.2988, 0.1020, 0.8032)
Nd (0.7012, 0.5045, 0.8032)
Nd (0.7012, 0.8980, 0.1968)
Nd (0.1968, 0.7012, 0.8980)
Nd (0.8980, 0.1968, 0.7012)
Nd (0.1020, 0.8032, 0.2988)
Ru (0.5000, 0.8788, 0.3788)
Ru (0.8788, 0.3788, 0.5000)
Ru (0.3788, 0.5000, 0.8788)
Ru (0.6212, 0.5000, 0.1212)
Ru (0.1212, 0.6212, 0.5000)
Ru (0.5000, 0.1212, 0.6212)
Hg (0.0000, 0.0000, 0.0000)

The value obtained for the energy is -6.142 eV per atom. The formation energy comes out at -186 meV per atom.


[3]
Nd6Hg2Ru | GGA-PBE | optimized geometry

Unit cell a=7.2133 b=7.5285 c=10.5595 alpha=90.00 beta=90.45 gamma=90.00
Fractional positions:
Hg (0.0358, 0.5893, 0.2459)
Hg (0.9642, 0.4107, 0.7541)
Hg (0.5358, 0.9107, 0.7459)
Hg (0.4642, 0.0893, 0.2541)
Nd (0.1874, 0.3041, 0.0502)
Nd (0.3126, 0.8041, 0.4498)
Nd (0.6874, 0.1959, 0.5502)
Nd (0.6941, 0.1902, 0.9478)
Nd (0.3899, 0.5068, 0.7483)
Nd (0.3059, 0.8098, 0.0522)
Nd (0.1101, 0.0068, 0.7517)
Nd (0.8126, 0.6959, 0.9498)
Nd (0.8059, 0.6902, 0.5522)
Nd (0.8899, 0.9932, 0.2483)
Nd (0.6101, 0.4932, 0.2517)
Nd (0.1941, 0.3098, 0.4478)
Ru (0.0000, 0.0000, 0.5000)
Ru (0.5000, 0.5000, 0.0000)

The value obtained for the energy is -4.512 eV per atom. The formation energy comes out at -235 meV per atom.


[4]
Nd12Hg6Ru | GGA-PBE | optimized geometry

Unit cell a=8.4737 b=8.4737 c=8.4737 alpha=94.10 beta=94.10 gamma=94.10
Fractional positions:
Hg (0.1444, 0.7369, 0.3484)
Hg (0.6516, 0.8556, 0.2631)
Hg (0.3484, 0.1444, 0.7369)
Hg (0.2631, 0.6516, 0.8556)
Hg (0.8556, 0.2631, 0.6516)
Hg (0.7369, 0.3484, 0.1444)
Nd (0.0305, 0.9168, 0.6841)
Nd (0.0832, 0.3159, 0.9695)
Nd (0.4589, 0.8011, 0.5746)
Nd (0.8011, 0.5746, 0.4589)
Nd (0.5411, 0.1989, 0.4254)
Nd (0.4254, 0.5411, 0.1989)
Nd (0.9695, 0.0832, 0.3159)
Nd (0.5746, 0.4589, 0.8011)
Nd (0.1989, 0.4254, 0.5411)
Nd (0.3159, 0.9695, 0.0832)
Nd (0.9168, 0.6841, 0.0305)
Nd (0.6841, 0.0305, 0.9168)
Ru (0.0000, 0.0000, 0.0000)

The value obtained for the energy is -3.825 eV per atom. The formation energy comes out at -230 meV per atom.


[5]
Nd4Hg2Ru | GGA-PBE | optimized geometry

Unit cell a=4.6886 b=6.1436 c=8.0673 alpha=75.55 beta=73.11 gamma=67.57
Fractional positions:
Nd (0.3303, 0.2780, 0.0615)
Nd (0.9301, 0.7918, 0.3480)
Nd (0.6697, 0.7220, 0.9385)
Nd (0.0699, 0.2082, 0.6520)
Hg (0.3527, 0.6257, 0.6689)
Hg (0.6473, 0.3743, 0.3311)
Ru (0.0000, 0.0000, 0.0000)

The value obtained for the energy is -4.472 eV per atom. The formation energy comes out at -336 meV per atom.


[6]
Nd6Hg5Ru | GGA-PBE | optimized geometry

Unit cell a=5.3447 b=7.6370 c=9.2268 alpha=65.55 beta=73.15 gamma=90.00
Fractional positions:
Hg (0.6670, 0.6670, 0.6660)
Hg (0.0000, 0.5000, 0.0000)
Hg (0.3158, 0.8161, 0.3678)
Hg (0.3330, 0.3330, 0.3340)
Hg (0.6842, 0.1839, 0.6322)
Nd (0.5000, 0.2280, 0.0000)
Nd (0.1551, 0.3887, 0.6904)
Nd (0.8449, 0.6113, 0.3096)
Nd (0.8449, 0.0792, 0.3096)
Nd (0.1551, 0.9208, 0.6904)
Nd (0.5000, 0.7720, 0.0000)
Ru (0.0000, 0.0000, 0.0000)

The value obtained for the energy is -3.711 eV per atom. The formation energy comes out at -429 meV per atom.


[7]
Nd4Hg3Ru | GGA-PBE | optimized geometry

Unit cell a=3.6679 b=3.6679 c=15.8217 alpha=90.00 beta=90.00 gamma=90.00
Site moments in Bohr magnetons follow the coordinates.
Fractional positions:
Ru (0.5000, 0.5000, 0.0000)  0.02
Nd (0.0000, 0.0000, 0.6292)  0.12
Nd (0.0000, 0.0000, 0.1060)  0.00
Nd (0.0000, 0.0000, 0.8940)  0.00
Nd (0.0000, 0.0000, 0.3708)  0.12
Hg (0.5000, 0.5000, 0.7564)  0.01
Hg (0.5000, 0.5000, 0.2436)  0.01
Hg (0.5000, 0.5000, 0.5000)  0.01

The value obtained for the energy is -4.041 eV per atom. The formation energy comes out at -385 meV per atom.


[8]
Nd4Hg2Ru | GGA-PBE | optimized geometry

Unit cell a=3.9456 b=9.4051 c=8.4945 alpha=135.31 beta=90.00 gamma=90.00
Fractional positions:
Nd (0.5000, 0.9553, 0.7654)
Nd (0.0000, 0.4570, 0.2472)
Nd (0.0000, 0.6858, 0.8956)
Nd (0.5000, 0.1875, 0.3775)
Hg (0.5000, 0.3512, 0.8600)
Hg (0.5000, 0.7917, 0.2829)
Ru (0.0000, 0.0714, 0.0714)

The value obtained for the energy is -4.357 eV per atom. The formation energy comes out at -221 meV per atom.


[9]
Nd6HgRu | GGA-PBE | optimized geometry

Unit cell a=6.9951 b=7.0303 c=7.7573 alpha=63.44 beta=63.53 gamma=60.15
Fractional positions:
Nd (0.4168, 0.7794, 0.7573)
Nd (0.2227, 0.9549, 0.2428)
Nd (0.7773, 0.0451, 0.7572)
Nd (0.9534, 0.5837, 0.2419)
Nd (0.5832, 0.2206, 0.2427)
Nd (0.0466, 0.4163, 0.7581)
Ru (0.0000, 0.0000, 0.0000)
Hg (0.5000, 0.5000, 0.5000)

The value obtained for the energy is -4.796 eV per atom. The formation energy comes out at -23 meV per atom.


[10]
Nd5HgRu | GGA-PBE | optimized geometry

Unit cell a=6.1909 b=6.1909 c=12.0619 alpha=76.41 beta=76.41 gamma=75.38
Fractional positions:
Ru (0.0000, 0.0000, 0.5000)
Ru (0.0000, 0.0000, 0.0000)
Nd (0.9902, 0.0098, 0.7500)
Nd (0.7916, 0.4507, 0.4420)
Nd (0.9231, 0.5833, 0.1289)
Nd (0.4507, 0.7916, 0.9420)
Nd (0.0098, 0.9902, 0.2500)
Nd (0.0769, 0.4167, 0.8711)
Nd (0.5833, 0.9231, 0.6289)
Nd (0.4167, 0.0769, 0.3711)
Nd (0.5493, 0.2084, 0.0580)
Nd (0.2084, 0.5493, 0.5580)
Hg (0.5803, 0.4197, 0.7500)
Hg (0.4197, 0.5803, 0.2500)

The value obtained for the energy is -4.915 eV per atom. The formation energy comes out at -141 meV per atom.


[11]
Nd6Hg2Ru | GGA-PBE | optimized geometry

Unit cell a=3.9051 b=8.6408 c=8.9270 alpha=118.95 beta=90.00 gamma=90.00
Fractional positions:
Hg (0.0000, 0.3465, 0.6723)
Hg (0.0000, 0.6742, 0.3277)
Ru (0.5000, 0.9574, 0.0000)
Nd (0.0000, 0.2249, 0.0000)
Nd (0.5000, 0.5984, 0.0000)
Nd (0.5000, 0.0137, 0.6033)
Nd (0.5000, 0.4105, 0.3967)
Nd (0.0000, 0.0136, 0.2527)
Nd (0.0000, 0.7609, 0.7473)

The value obtained for the energy is -4.570 eV per atom. The formation energy comes out at -294 meV per atom.


[12]
Nd8HgRu2 | GGA-PBE | optimized geometry

Unit cell a=5.7441 b=8.1237 c=8.1237 alpha=114.84 beta=98.03 gamma=98.03
Fractional positions:
Ru (0.0000, 0.2963, 0.7037)
Ru (0.0000, 0.7037, 0.2963)
Hg (0.5000, 0.0000, 0.0000)
Nd (0.5000, 0.7557, 0.2443)
Nd (0.9372, 0.6689, 0.9230)
Nd (0.3033, 0.6080, 0.6080)
Nd (0.5000, 0.2443, 0.7557)
Nd (0.0628, 0.3311, 0.0770)
Nd (0.9372, 0.9230, 0.6689)
Nd (0.0628, 0.0770, 0.3311)
Nd (0.6967, 0.3920, 0.3920)

The value obtained for the energy is -5.308 eV per atom. The formation energy comes out at -127 meV per atom.


[13]
Nd3Hg2Ru | GGA-PBE | optimized geometry

Unit cell a=5.4402 b=7.2096 c=9.4911 alpha=112.23 beta=106.65 gamma=90.00
Fractional positions:
Nd (0.5001, 0.7500, 0.0000)
Nd (0.8632, 0.3633, 0.7265)
Nd (0.1368, 0.6367, 0.2735)
Nd (0.1368, 0.1367, 0.2735)
Nd (0.8632, 0.8633, 0.7265)
Nd (0.4999, 0.2500, 0.0000)
Hg (0.6949, 0.9454, 0.3897)
Hg (0.3051, 0.0546, 0.6103)
Hg (0.6949, 0.4454, 0.3897)
Hg (0.3051, 0.5546, 0.6103)
Ru (0.0001, 0.7500, 0.0000)
Ru (0.9999, 0.2500, 0.0000)

The value obtained for the energy is -4.372 eV per atom. The formation energy comes out at -341 meV per atom.


[14]
Nd12Hg5Ru2 | GGA-PBE | optimized geometry

Unit cell a=7.4222 b=10.4083 c=9.0824 alpha=114.69 beta=90.00 gamma=110.89
Fractional positions:
Nd (0.5003, 0.0007, 0.7302)
Nd (0.9911, 0.9823, 0.1744)
Nd (0.4997, 0.9993, 0.2698)
Nd (0.0089, 0.0177, 0.8256)
Nd (0.4173, 0.3151, 0.1621)
Nd (0.9130, 0.3109, 0.6574)
Nd (0.6022, 0.6891, 0.3426)
Nd (0.0870, 0.6891, 0.3426)
Nd (0.3978, 0.3109, 0.6574)
Nd (0.5827, 0.6849, 0.8379)
Nd (0.8979, 0.3151, 0.1621)
Nd (0.1021, 0.6849, 0.8379)
Hg (0.7469, 0.4939, 0.5035)
Hg (0.0000, 0.0000, 0.5000)
Hg (0.2482, 0.4965, 0.0058)
Hg (0.7518, 0.5035, 0.9942)
Hg (0.2531, 0.5061, 0.4965)
Ru (0.6947, 0.0000, 0.0000)
Ru (0.3053, 0.0000, 0.0000)

The value obtained for the energy is -4.287 eV per atom. The formation energy comes out at -220 meV per atom.


[15]
NdScHgRu | GGA-PBE | optimized geometry

Unit cell a=4.9932 b=4.9932 c=4.9932 alpha=60.00 beta=60.00 gamma=60.00
Fractional positions:
Sc (0.7500, 0.7500, 0.7500)
Hg (0.5000, 0.5000, 0.5000)
Ru (0.0000, 0.0000, 0.0000)
Nd (0.2500, 0.2500, 0.2500)

The value obtained for the energy is -5.428 eV per atom. The formation energy comes out at -259 meV per atom.


[16]
NdThHgRu | GGA-PBE | optimized geometry

Unit cell a=4.1160 b=4.1142 c=8.1069 alpha=90.00 beta=104.67 gamma=119.98
Fractional positions:
Th (0.0978, 0.9468, 0.0595)
Ru (0.3111, 0.5534, 0.8813)
Hg (0.9688, 0.3826, 0.3654)
Nd (0.5002, 0.1480, 0.6635)

The value obtained for the energy is -5.797 eV per atom. The formation energy comes out at -356 meV per atom.


[17]
NdThHgRu | GGA-PBE | optimized geometry

Unit cell a=5.2100 b=5.2100 c=5.2100 alpha=60.00 beta=60.00 gamma=60.00
Fractional positions:
Th (0.7500, 0.7500, 0.7500)
Nd (0.2500, 0.2500, 0.2500)
Ru (0.5000, 0.5000, 0.5000)
Hg (0.0000, 0.0000, 0.0000)

The value obtained for the energy is -5.658 eV per atom. The formation energy comes out at -217 meV per atom.


[18]
Nd2HgS | GGA-PBE | optimized geometry

Unit cell a=4.0730 b=4.0730 c=7.9901 alpha=75.23 beta=75.23 gamma=60.00
Fractional positions:
Hg (0.5000, 0.5000, 0.5000)
Nd (0.2620, 0.2620, 0.2141)
Nd (0.7380, 0.7380, 0.7859)
S (0.0000, 0.0000, 0.0000)

The value obtained for the uncorrected formation energy is -1212 meV per atom. The value obtained for the energy is -4.703 eV per atom.


[19]
Nd4Hg2S | GGA-PBE | optimized geometry

Unit cell a=5.4006 b=5.4006 c=8.5031 alpha=108.52 beta=108.52 gamma=90.00
Fractional positions:
Nd (0.8125, 0.8125, 0.6250)
Nd (0.0000, 0.5000, 0.0000)
Nd (0.1875, 0.1875, 0.3750)
Nd (0.5000, 0.0000, 0.0000)
Hg (0.3851, 0.3851, 0.7702)
Hg (0.6149, 0.6149, 0.2298)
S (0.0000, 0.0000, 0.0000)

The value obtained for the uncorrected formation energy is -713 meV per atom. The value obtained for the energy is -4.114 eV per atom.


[20]
Nd7HgS5 | GGA-PBE | optimized geometry

Unit cell a=4.0900 b=7.0466 c=24.5727 alpha=90.03 beta=90.00 gamma=106.87
Fractional positions:
S (0.7269, 0.4538, 0.9304)
S (0.7270, 0.4541, 0.5696)
S (0.0003, 0.0005, 0.0000)
S (0.2735, 0.5471, 0.4304)
S (0.4565, 0.9131, 0.8592)
S (0.5437, 0.0873, 0.3592)
S (0.5440, 0.0881, 0.1408)
S (0.0003, 0.0005, 0.5000)
S (0.4569, 0.9139, 0.6407)
S (0.2737, 0.5474, 0.0697)
Nd (0.3647, 0.7295, 0.5363)
Nd (0.8230, 0.6459, 0.6719)
Nd (0.5268, 0.0536, 0.7500)
Nd (0.0898, 0.1795, 0.6060)
Nd (0.1781, 0.3562, 0.1720)
Nd (0.3646, 0.7293, 0.9637)
Nd (0.6359, 0.2718, 0.0363)
Nd (0.4738, 0.9476, 0.2500)
Nd (0.8225, 0.6450, 0.8280)
Nd (0.0895, 0.1789, 0.8940)
Nd (0.9111, 0.8222, 0.1060)
Nd (0.1776, 0.3552, 0.3281)
Nd (0.9108, 0.8216, 0.3940)
Nd (0.6358, 0.2716, 0.4637)
Hg (0.2060, 0.4120, 0.7497)
Hg (0.7946, 0.5892, 0.2503)

The value obtained for the uncorrected formation energy is -1641 meV per atom. The value obtained for the energy is -5.819 eV per atom.


[21]
Nd2HgS4 | GGA-PBE | optimized geometry

Unit cell a=6.8521 b=7.1139 c=7.7582 alpha=90.00 beta=106.58 gamma=90.00
Fractional positions:
Hg (0.7673, 0.2500, 0.8150)
Hg (0.2327, 0.7500, 0.1850)
S (0.4873, 0.5096, 0.7466)
S (0.9950, 0.2500, 0.6154)
S (0.5127, 0.0096, 0.2534)
S (0.0050, 0.7500, 0.3846)
S (0.4873, 0.9904, 0.7466)
S (0.5127, 0.4904, 0.2534)
S (0.9999, 0.2500, 0.1305)
S (0.0001, 0.7500, 0.8695)
Nd (0.2946, 0.2500, 0.4499)
Nd (0.7054, 0.7500, 0.5501)
Nd (0.7061, 0.7500, 0.0540)
Nd (0.2939, 0.2500, 0.9460)

The value obtained for the uncorrected formation energy is -1332 meV per atom. The value obtained for the energy is -5.096 eV per atom.